## Pm2FeRhO6 (PBE with a Hubbard U)

Data for Pm2FeRhO6 after structural relaxation.

Values from the calculation:
- Energy: -0.553 Ry per atom
- Calculated density: 7.4 g/cm³
- V: 244.5 Å³ per cell
- SG: P2_1/c (14)

Lattice parameters (Å, degrees): 5.4382 5.7593 9.4518 90.00 124.33 90.00
With the nearest neighbours (Å) after each atom.
Fractional positions:
Pm  0.2302  0.0685  0.2499  6 O 2.33-2.57
Pm  0.2302  0.4315  0.7499  6 O 2.33-2.57
Pm  0.7698  0.5685  0.2501  6 O 2.33-2.57
Pm  0.7698  0.9315  0.7501  6 O 2.33-2.57
Fe  0.5000  0.0000  0.0000  6 O 2.01-2.04
Fe  0.5000  0.5000  0.5000  6 O 2.01-2.04
Rh  0.0000  0.0000  0.5000  6 O 2.07-2.09
Rh  0.0000  0.5000  0.0000  6 O 2.07-2.09
O  0.1438  0.1952  0.9478  1 Fe 2.04, 1 Rh 2.09
O  0.1438  0.3048  0.4478  1 Fe 2.04, 1 Rh 2.09
O  0.2546  0.7040  0.9456  1 Fe 2.04, 1 Rh 2.09
O  0.2546  0.7960  0.4456  1 Fe 2.04, 1 Rh 2.09
O  0.3584  0.0336  0.7529  1 Fe 2.01, 1 Rh 2.07
O  0.3584  0.4664  0.2529  1 Fe 2.01, 1 Rh 2.07
O  0.6416  0.5336  0.7471  1 Fe 2.01, 1 Rh 2.07
O  0.6416  0.9664  0.2471  1 Fe 2.01, 1 Rh 2.07
O  0.7454  0.2040  0.5544  1 Fe 2.04, 1 Rh 2.09
O  0.7454  0.2960  0.0544  1 Fe 2.04, 1 Rh 2.09
O  0.8562  0.6952  0.5522  1 Fe 2.04, 1 Rh 2.09
O  0.8562  0.8048  0.0522  1 Fe 2.04, 1 Rh 2.09